Record 1
Entry from Alexandria: crystalline PtWSe2 at its relaxed geometry (PBE).

SG: Pmmm
E, eV/atom: -5.86
Offset from the most stable computed form, eV per atom: 0.698

Cell: 3.0244 5.3682 4.3028 Å, 90.00 90.00 90.00°
Closest atoms and distances in Å follow each position.
Fractional coordinates of all 4 atoms:
Pt 0.0000 0.5000 0.5000  4 Se 2.63
Se 0.0000 0.0000 0.0000  4 W 2.63
Se 0.5000 0.5000 0.0000  4 Pt 2.63
W 0.5000 0.0000 0.5000  4 Se 2.63


Record 2
Entry from Alexandria: crystalline PtWSe2 at its relaxed geometry (PBE).

SG: R-3m
E, eV/atom: -6.49
Offset from the most stable computed form, eV per atom: 0.068

Cell: 8.5645 8.5645 8.5645 Å, 21.65 21.65 21.65°
Closest atoms and distances in Å follow each position.
Fractional coordinates of all 4 atoms:
Se 0.9033 0.9033 0.9033  1 Pt 2.43, 3 W 2.56
Se 0.0967 0.0967 0.0967  1 Pt 2.43, 3 W 2.56
Pt 0.0000 0.0000 0.0000  2 Se 2.43
W 0.5000 0.5000 0.5000  6 Se 2.56


Record 3
Entry from Alexandria: crystalline PtWSe2 at its relaxed geometry (PBE).

SG: P4mm
E, eV/atom: -6.50
Offset from the most stable computed form, eV per atom: 0.055

Cell: 2.9529 2.9529 9.1753 Å, 90.00 90.00 90.00°
Closest atoms and distances in Å follow each position.
Fractional coordinates of all 4 atoms:
Se 0.0000 0.0000 0.9405  4 Se 2.95, 4 Pt 2.98
Se 0.5000 0.5000 0.3389  4 W 2.62
W 0.0000 0.0000 0.5111  4 Se 2.62, 4 Pt 2.77
Pt 0.5000 0.5000 0.7094  4 W 2.77, 4 Pt 2.95, 4 Se 2.98


Record 4
Entry from Alexandria: crystalline Pt3WSe at its relaxed geometry (PBE).

SG: Pm-3m
E, eV/atom: -5.69
Offset from the most stable computed form, eV per atom: 0.000

Cell: 4.6482 4.6482 4.6482 Å, 90.00 90.00 90.00°
Closest atoms and distances in Å follow each position.
Fractional coordinates of all 5 atoms:
Pt 0.0000 0.5000 0.0000  2 Se 2.32
Pt 0.0000 0.0000 0.5000  2 Se 2.32
Pt 0.5000 0.0000 0.0000  2 Se 2.32
Se 0.0000 0.0000 0.0000  6 Pt 2.32
W 0.5000 0.5000 0.5000  12 Pt 3.29